## w
CeErNiPt | GGA-PBE | relaxed

```
CeErNiPt
1.0
4.905 0.000 0.000
2.453 4.248 0.000
2.453 1.416 4.005
Ni Ce Pt Er
1 1 1 1
Cartesian
2.453 1.416 1.001
4.905 2.832 2.002
7.358 4.248 3.004
0.000 0.000 0.000
```



## x
CeErNiPt | GGA-PBE | relaxed

```
CeErNiPt
1.0
3.700 0.000 0.000
0.000 4.322 0.000
-1.850 0.000 5.335
Ce Er Ni Pt
1 1 1 1
Cartesian
1.850 2.161 3.893
0.000 0.000 1.499
0.000 0.000 4.380
1.850 2.161 0.899
```



Name the most stable of them. x.



## w
CeEr2O | GGA-PBE | relaxed

```
CeEr2O
1.0
-0.569 3.196 0.796
-2.484 0.784 2.096
4.799 0.576 8.138
O Ce Er
1 1 2
Cartesian
0.873 2.278 5.515
0.000 0.000 0.000
2.749 0.840 5.610
-1.003 3.716 5.419
```



## x
CeEr2O | GGA-PBE | relaxed

```
CeEr2O
1.0
-0.938 2.397 -1.766
-2.925 -0.396 1.016
1.540 5.422 6.542
O Ce Er
1 1 2
Cartesian
-1.931 1.001 -0.375
-1.162 3.712 2.896
1.266 4.457 5.378
0.274 0.965 1.164
```



Name the most stable of them. w.



## w
CeEr2Os2 | GGA-PBE | relaxed

```
CeEr2Os2
1.0
3.977 0.000 1.694
1.188 4.912 2.728
-0.096 0.059 5.742
Ce Er Os
1 2 2
Cartesian
2.582 2.456 2.211
3.691 3.971 5.123
1.377 1.000 5.040
0.245 1.137 2.183
4.824 3.834 7.980
```



## x
CeEr2Os2 | GGA-PBE | relaxed

```
CeEr2Os2
1.0
7.018 0.000 0.004
0.000 6.663 0.000
-0.859 0.000 10.032
Ce Er Os
4 8 8
Cartesian
3.224 2.184 3.623
2.936 4.479 6.413
-0.285 1.148 3.621
6.445 5.515 6.415
3.150 1.631 0.150
6.659 1.700 0.152
-0.500 4.963 9.884
3.009 5.032 9.886
5.997 4.416 2.929
2.488 5.579 2.927
3.672 1.084 7.109
0.163 2.247 7.107
4.948 0.131 1.799
1.439 3.201 1.797
4.721 3.462 8.239
1.212 6.533 8.237
5.091 2.932 5.225
1.581 0.399 5.222
4.578 6.264 4.814
1.069 3.731 4.811
```



Name the most stable of them. w.



## w
CeErP2 | GGA-PBE | relaxed

```
CeErP2
1.0
4.031 0.000 0.000
2.016 3.491 0.000
2.016 1.164 6.559
P Ce Er
2 1 1
Cartesian
6.047 3.491 4.957
2.016 1.164 1.602
4.031 2.328 3.279
0.000 0.000 0.000
```



## x
CeErP2 | GGA-PBE | relaxed

```
CeErP2
1.0
-1.875 0.513 3.486
3.942 -0.622 -0.073
1.083 6.913 -0.435
Ce Er P
1 1 2
Cartesian
2.512 3.146 -0.254
1.971 -0.311 -0.036
2.855 5.062 1.933
0.294 1.742 1.044
```



Name the most stable of them. w.



## w
CeErP2 | GGA-PBE | relaxed

```
CeErP2
1.0
-3.410 1.687 1.096
-0.947 0.239 3.837
1.727 6.809 2.044
Ce Er P
1 1 2
Cartesian
-1.291 4.415 3.492
-1.205 8.040 5.330
0.969 5.339 1.949
-0.692 2.118 1.740
```



## x
CeErP2 | GGA-PBE | relaxed

```
CeErP2
1.0
4.018 0.000 0.000
-2.009 3.480 0.000
0.000 0.000 13.133
Ce Er P
2 2 4
Cartesian
0.000 0.000 6.567
0.000 0.000 0.000
2.009 1.160 3.283
0.000 2.320 9.850
0.000 2.320 4.914
2.009 1.160 11.480
2.009 1.160 8.220
0.000 2.320 1.653
```



Name the most stable of them. x.



## w
CeErPa2 | GGA-PBE | relaxed

```
CeErPa2
1.0
5.149 0.000 0.000
2.574 4.459 0.000
2.574 1.486 4.822
Pa Ce Er
2 1 1
Cartesian
7.723 4.459 3.070
2.574 1.486 1.753
5.149 2.973 2.411
0.000 0.000 0.000
```



## x
CeErPa2 | GGA-PBE | relaxed

```
CeErPa2
1.0
4.910 0.000 0.000
0.000 4.629 0.000
0.000 0.000 4.629
Pa Ce Er
2 1 1
Cartesian
0.000 0.000 2.315
0.000 2.315 0.000
2.455 2.315 2.315
2.455 0.000 0.000
```



## y
CeErPa2 | GGA-PBE | relaxed

```
CeErPa2
1.0
3.188 0.000 0.000
0.000 3.188 0.000
0.000 0.000 10.229
Pa Ce Er
2 1 1
Cartesian
0.000 0.000 7.745
0.000 0.000 2.484
1.594 1.594 0.000
1.594 1.594 5.114
```



Name the most stable of them. y.



## w
CeEr2Pd | GGA-PBE | relaxed

```
CeEr2Pd
1.0
3.547 0.000 0.000
1.774 3.072 0.000
1.774 1.024 9.889
Pd Ce Er
1 1 2
Cartesian
0.000 0.000 0.000
3.547 2.048 4.944
1.774 1.024 1.996
5.321 3.072 7.892
```



## x
CeEr2Pd | GGA-PBE | relaxed

```
CeEr2Pd
1.0
-3.038 0.038 -1.730
-1.663 -1.034 2.897
-1.156 8.041 2.208
Pd Ce Er
1 1 2
Cartesian
-2.350 -0.498 0.583
-2.928 3.522 1.687
-0.925 6.437 1.767
-0.231 1.604 0.440
```



Name the most stable of them. x.



## w
CeErPdPt | GGA-PBE | relaxed

```
CeErPdPt
1.0
-0.500 2.126 -4.486
-2.511 -2.356 -3.611
-4.451 1.711 -1.468
Pd Ce Pt Er
1 1 1 1
Cartesian
-1.865 0.370 -2.391
0.000 0.000 0.000
-5.596 1.111 -7.174
-3.731 0.741 -4.783
```



## x
CeErPdPt | GGA-PBE | relaxed

```
CeErPdPt
1.0
-0.516 3.222 1.796
-0.969 -2.294 3.836
5.392 -1.537 0.443
Ce Er Pd Pt
1 1 1 1
Cartesian
2.984 0.518 3.790
1.401 0.020 0.366
4.213 0.061 1.101
0.186 0.477 3.059
```



Name the most stable of them. x.



## w
Ce2PmEr | GGA-PBE | relaxed

```
Ce2PmEr
1.0
3.493 0.000 0.000
1.747 3.025 0.000
1.747 1.008 11.599
Ce Pm Er
2 1 1
Cartesian
1.747 1.008 8.741
1.747 1.008 2.848
3.493 2.017 5.849
5.240 3.025 11.558
```



## x
Ce2PmEr | GGA-PBE | relaxed

```
Ce2PmEr
1.0
-1.960 -2.149 -1.694
0.956 -3.204 -0.387
-6.130 -4.781 9.814
Pm Ce Er
1 2 1
Cartesian
-3.567 -5.067 3.867
-4.662 -4.022 7.152
-2.473 -6.112 0.581
0.000 0.000 0.000
```



## y
Ce2PmEr | GGA-PBE | relaxed

```
Ce2PmEr
1.0
3.478 0.000 0.000
0.000 3.478 0.000
0.000 0.000 10.181
Pm Ce Er
1 2 1
Cartesian
1.739 1.739 5.091
0.000 0.000 7.673
0.000 0.000 2.508
1.739 1.739 0.000
```



## z
Ce2PmEr | GGA-PBE | relaxed

```
Ce2PmEr
1.0
5.659 0.000 0.000
2.830 4.901 0.000
2.830 1.634 4.621
Pm Ce Er
1 2 1
Cartesian
0.000 0.000 0.000
2.830 1.634 1.155
8.489 4.901 3.466
5.659 3.267 2.310
```



Name the most stable of them. w.



## w
CePm2Er6 | GGA-PBE | relaxed

```
CePm2Er6
1.0
-2.931 4.811 -3.332
-5.289 -5.417 -5.660
-6.991 1.710 6.128
Ce Pm Er
2 4 12
Cartesian
-7.521 2.064 3.892
-7.690 -0.960 -6.756
-8.291 -1.554 0.203
-5.550 0.654 -0.736
-6.920 2.658 -3.066
-9.661 0.450 -2.127
-6.912 -0.715 -3.705
-6.179 -3.325 -2.022
-8.299 1.819 0.842
-9.031 4.429 -0.842
-5.648 4.041 0.039
-11.715 2.344 0.189
-9.563 -2.937 -2.902
-3.496 -1.240 -3.052
-11.714 -1.099 0.351
-2.318 0.999 0.439
-3.497 2.203 -3.214
-12.893 0.105 -3.302
```



## x
CePm2Er6 | GGA-PBE | relaxed

```
CePm2Er6
1.0
3.388 -0.507 -0.266
-1.769 8.831 5.058
-2.635 0.461 9.977
Ce Pm Er
1 2 6
Cartesian
0.000 0.000 0.000
-1.807 6.027 9.936
0.791 2.759 4.833
2.235 2.512 1.460
-2.963 9.053 11.675
-3.250 6.273 13.309
-0.653 2.990 8.209
1.947 -0.268 3.094
-0.363 5.795 6.560
```



Name the most stable of them. x.



## w
CePmEr2 | GGA-PBE | relaxed

```
CePmEr2
1.0
3.543 0.000 0.000
1.771 3.068 0.000
1.771 1.023 11.444
Ce Pm Er
1 1 2
Cartesian
3.543 2.046 0.011
3.543 2.046 5.703
1.771 1.023 8.663
1.771 1.023 2.790
```



## x
CePmEr2 | GGA-PBE | relaxed

```
CePmEr2
1.0
-0.431 5.564 -0.919
-2.249 1.903 -4.828
-5.080 2.487 0.034
Pm Ce Er
1 1 2
Cartesian
-3.880 4.977 -2.856
0.000 0.000 0.000
-1.940 2.489 -1.428
-5.821 7.466 -4.285
```



## y
CePmEr2 | GGA-PBE | relaxed

```
CePmEr2
1.0
-0.729 -2.876 3.956
-3.839 -2.256 -2.349
3.171 -3.418 -1.901
Pm Ce Er
1 1 2
Cartesian
-0.699 -4.275 -0.147
-0.365 -1.438 1.978
1.586 -1.709 -0.950
-1.920 -1.128 -1.174
```



## z
CePmEr2 | GGA-PBE | relaxed

```
CePmEr2
1.0
3.546 0.000 0.000
0.000 3.546 0.000
0.000 0.000 9.914
Pm Ce Er
1 1 2
Cartesian
1.773 1.773 4.957
1.773 1.773 0.000
0.000 0.000 7.519
0.000 0.000 2.396
```



Name the most stable of them. w.